SiBPN4 | PBE | relaxed

Output
SG: P1, No. 1
Energy relative to the lowest polymorph listed for this composition, meV per atom: 749
Formation energy without anion corrections, eV per atom: -0.080

Cell lengths 4.1144, 4.4163, 4.6669 Å; angles 108.48, 91.50, 115.96 degrees
Closest atoms and distances in Å follow each position.
Element x y z (fractional)
Si: 0.0000 0.0000 0.0000  4 N 1.72-1.76
B: 0.8121 0.8810 0.4838  2 N 1.44-1.45
P: 0.5735 0.1860 0.5155  2 N 1.68-1.71
N: 0.1290 0.9707 0.3396  1 B 1.44
N: 0.4410 0.1634 0.9065  1 N 1.42
N: 0.7025 0.1808 0.1238  1 N 1.42
N: 0.7206 0.6429 0.6559  1 B 1.45

=====

NaHo2S | PBE | relaxed

Output
SG: R-3m, No. 166
Formation energy without anion corrections, eV per atom: -0.738

Cell lengths 10.4303, 10.4303, 10.4303 Å; angles 20.35, 20.35, 20.35 degrees
Closest atoms and distances in Å follow each position.
Element x y z (fractional)
Na: 0.0000 0.0000 0.0000  2 Ho 3.48, 6 Na 3.68
Ho: 0.1137 0.1137 0.1137  3 S 2.68
Ho: 0.8863 0.8863 0.8863  3 S 2.68
S: 0.5000 0.5000 0.5000  6 Ho 2.68

=====

PmNdIn3 | PBE | relaxed

Output
SG: Imma, No. 74
Energy of formation from the pure elements, eV/atom: -0.159

Cell lengths 7.7178, 7.7178, 7.7178 Å; angles 130.24, 115.27, 85.82 degrees
Closest atoms and distances in Å follow each position.
Element x y z (fractional)
Pm: 0.0000 0.0000 0.0000  6 In 3.08-3.30
Pm: 0.5000 0.0000 0.5000  6 In 3.08-3.30
Nd: 0.2585 0.5085 0.7500  1 In 3.27
Nd: 0.7415 0.4915 0.2500  1 In 3.27
In: 0.1847 0.0000 0.6847  5 In 3.05-3.25, 2 Pm 3.30
In: 0.1847 0.5000 0.1847  5 In 3.05-3.25, 2 Pm 3.30
In: 0.4522 0.2022 0.2500  2 Pm 3.08, 6 In 3.12-3.42, 1 Nd 3.27
In: 0.5478 0.7978 0.7500  2 Pm 3.08, 6 In 3.12-3.42, 1 Nd 3.27
In: 0.8153 0.0000 0.3153  5 In 3.05-3.25, 2 Pm 3.30
In: 0.8153 0.5000 0.8153  5 In 3.05-3.25, 2 Pm 3.30

=====

Pm6Nd3Sm2Dy | PBE | relaxed

Output
SG: C2/m, No. 12
Energy of formation from the pure elements, eV/atom: 0.014

Cell lengths 6.3173, 6.3173, 12.0909 Å; angles 95.01, 95.01, 119.99 degrees
Closest atoms and distances in Å follow each position.
Element x y z (fractional)
Pm: 0.0827 0.4154 0.2477  1 Dy 3.62, 2 Sm 3.62-3.63, 6 Pm 3.64-3.65, 3 Nd 3.67
Pm: 0.2502 0.2502 0.7521  1 Dy 3.62, 2 Sm 3.63, 6 Pm 3.64-3.65, 3 Nd 3.66-3.67
Pm: 0.4154 0.0827 0.2477  1 Dy 3.62, 2 Sm 3.62-3.63, 6 Pm 3.64-3.65, 3 Nd 3.67
Pm: 0.5846 0.9173 0.7523  1 Dy 3.62, 2 Sm 3.62-3.63, 6 Pm 3.64-3.65, 3 Nd 3.67
Pm: 0.7498 0.7498 0.2479  1 Dy 3.62, 2 Sm 3.63, 6 Pm 3.64-3.65, 3 Nd 3.66-3.67
Pm: 0.9173 0.5846 0.7523  1 Dy 3.62, 2 Sm 3.62-3.63, 6 Pm 3.64-3.65, 3 Nd 3.67
Nd: 0.1666 0.8334 0.5000  6 Nd 3.65, 6 Pm 3.66-3.67
Nd: 0.5000 0.5000 0.5000  6 Nd 3.65, 6 Pm 3.67
Nd: 0.8334 0.1666 0.5000  6 Nd 3.65, 6 Pm 3.66-3.67
Sm: 0.3333 0.6667 0.0000  6 Pm 3.62-3.63, 3 Sm 3.65, 3 Dy 3.65
Sm: 0.6667 0.3333 0.0000  6 Pm 3.62-3.63, 3 Sm 3.65, 3 Dy 3.65
Dy: 0.0000 0.0000 0.0000  6 Pm 3.62, 6 Sm 3.65

=====

U4S5F | PBE | relaxed

Output
SG: Pmmn, No. 59
Formation energy without anion corrections, eV per atom: -1.403

Cell lengths 8.2992, 8.5706, 6.4899 Å; angles 90.00, 90.00, 90.00 degrees
Closest atoms and distances in Å follow each position.
Element x y z (fractional)
U: 0.0567 0.2500 0.0597  1 F 2.64, 5 S 2.69-2.85
U: 0.2500 0.0066 0.5616  1 F 2.39
U: 0.2500 0.4934 0.5616  1 F 2.39
U: 0.4433 0.2500 0.0597  1 F 2.64, 5 S 2.69-2.85
U: 0.5567 0.7500 0.9403  1 F 2.64, 5 S 2.69-2.85
U: 0.7500 0.5066 0.4384  1 F 2.39
U: 0.7500 0.9934 0.4384  1 F 2.39
U: 0.9433 0.7500 0.9403  1 F 2.64, 5 S 2.69-2.85
S: 0.0390 0.5499 0.2471  4 U 2.73-2.85
S: 0.0390 0.9501 0.2471  4 U 2.73-2.85
S: 0.2500 0.7500 0.8063  4 U 2.69-2.71
S: 0.4610 0.5499 0.2471  4 U 2.73-2.85
S: 0.4610 0.9501 0.2471  4 U 2.73-2.85
S: 0.5390 0.0499 0.7529  4 U 2.73-2.85
S: 0.5390 0.4501 0.7529  4 U 2.73-2.85
S: 0.7500 0.2500 0.1937  4 U 2.69-2.71
S: 0.9610 0.0499 0.7529  4 U 2.73-2.85
S: 0.9610 0.4501 0.7529  4 U 2.73-2.85
F: 0.2500 0.2500 0.3820  4 U 2.39-2.64
F: 0.7500 0.7500 0.6180  4 U 2.39-2.64

=====

TaNb4Mo | PBE | relaxed

Output
SG: Cccm, No. 66
Energy relative to the lowest polymorph listed for this composition, meV per atom: 3
Energy of formation from the pure elements, eV/atom: 0.075

Cell lengths 5.0119, 5.0119, 9.2833 Å; angles 90.00, 90.00, 111.82 degrees
Closest atoms and distances in Å follow each position.
Element x y z (fractional)
Ta: 0.0000 0.5000 0.0000  6 Nb 2.77-2.79
Ta: 0.5000 0.0000 0.5000  6 Nb 2.77-2.79
Nb: 0.1679 0.3360 0.5000  3 Nb 2.75-2.81, 1 Ta 2.77, 2 Mo 2.80
Nb: 0.1715 0.8285 0.2500  1 Mo 2.73, 2 Ta 2.79, 3 Nb 2.81-2.85
Nb: 0.1715 0.8285 0.7500  1 Mo 2.73, 2 Ta 2.79, 3 Nb 2.81-2.85
Nb: 0.3360 0.1679 0.0000  3 Nb 2.75-2.81, 1 Ta 2.77, 2 Mo 2.80
Nb: 0.6640 0.8321 0.0000  3 Nb 2.75-2.81, 1 Ta 2.77, 2 Mo 2.80
Nb: 0.8285 0.1715 0.2500  1 Mo 2.73, 2 Ta 2.79, 3 Nb 2.81-2.85
Nb: 0.8285 0.1715 0.7500  1 Mo 2.73, 2 Ta 2.79, 3 Nb 2.81-2.85
Nb: 0.8321 0.6640 0.5000  3 Nb 2.75-2.81, 1 Ta 2.77, 2 Mo 2.80
Mo: 0.5000 0.5000 0.2500  6 Nb 2.73-2.80
Mo: 0.5000 0.5000 0.7500  6 Nb 2.73-2.80

=====

SmMgI | PBE | relaxed

Output
SG: Amm2, No. 38
Formation energy without anion corrections, eV per atom: -0.394

Cell lengths 16.3632, 3.8363, 3.8363 Å; angles 60.00, 90.00, 90.00 degrees
Closest atoms and distances in Å follow each position.
Element x y z (fractional)
Sm: 0.1580 0.0000 0.0000  3 I 3.17, 3 Mg 3.40-3.41
Sm: 0.8420 0.0000 0.0000  3 I 3.17, 3 Mg 3.40-3.41
Mg: 0.0000 0.6665 0.6665  6 Sm 3.40-3.41
Mg: 0.5000 0.6690 0.6690  2 I 3.33
I: 0.2965 0.6668 0.6668  3 Sm 3.17, 1 Mg 3.33
I: 0.7035 0.6668 0.6668  3 Sm 3.17, 1 Mg 3.33

=====

RbBa2RuS | PBE | relaxed

Output
SG: P4/mmm, No. 123
Formation energy without anion corrections, eV per atom: -0.188

Cell lengths 6.3324, 6.3324, 4.4868 Å; angles 90.00, 90.00, 90.00 degrees
Closest atoms and distances in Å follow each position.
Element x y z (fractional)
Rb: 0.0000 0.0000 0.0000  8 Ba 3.88
Ba: 0.0000 0.5000 0.5000  2 S 3.17
Ba: 0.5000 0.0000 0.5000  2 S 3.17
Ru: 0.5000 0.5000 0.0000  2 S 2.24
S: 0.5000 0.5000 0.5000  2 Ru 2.24

=====

SmCoCuGe2 | PBE | relaxed

Output
SG: I-4m2, No. 119
Energy of formation from the pure elements, eV/atom: -0.515

Cell lengths 5.8201, 5.8201, 5.8201 Å; angles 138.66, 138.66, 59.89 degrees
Closest atoms and distances in Å follow each position.
Element x y z (fractional)
Sm: 0.0000 0.0000 0.0000  8 Ge 3.18, 4 Co 3.25, 4 Cu 3.25
Co: 0.7500 0.2500 0.5000  4 Ge 2.40
Cu: 0.2500 0.7500 0.5000  4 Ge 2.40
Ge: 0.3727 0.3727 0.0000  2 Co 2.40, 2 Cu 2.40, 1 Ge 2.57
Ge: 0.6273 0.6273 0.0000  2 Co 2.40, 2 Cu 2.40, 1 Ge 2.57

=====

SrMg2AlIn4 | PBE | relaxed

Output
SG: R-3m, No. 166
Energy of formation from the pure elements, eV/atom: -0.128

Cell lengths 9.7903, 9.7903, 9.7903 Å; angles 30.14, 30.14, 30.14 degrees
Closest atoms and distances in Å follow each position.
Element x y z (fractional)
Sr: 0.0000 0.0000 0.0000  8 In 3.46-3.62
Mg: 0.2430 0.2430 0.2430  7 In 3.02-3.19
Mg: 0.7570 0.7570 0.7570  7 In 3.02-3.19
Al: 0.5000 0.5000 0.5000  8 In 2.85-3.12
In: 0.1292 0.1292 0.1292  3 Al 3.12, 4 Mg 3.13-3.19, 3 In 3.45
In: 0.3983 0.3983 0.3983  1 Al 2.85, 3 Mg 3.02
In: 0.6017 0.6017 0.6017  1 Al 2.85, 3 Mg 3.02
In: 0.8708 0.8708 0.8708  3 Al 3.12, 4 Mg 3.13-3.19, 3 In 3.45

=====

AlTcAs2Br | PBE | relaxed

Output
SG: P4/mmm, No. 123
Energy relative to the lowest polymorph listed for this composition, meV per atom: 530
Formation energy without anion corrections, eV per atom: 0.920

Cell lengths 4.8900, 4.8900, 4.9218 Å; angles 90.00, 90.00, 90.00 degrees
Closest atoms and distances in Å follow each position.
Element x y z (fractional)
Al: 0.0000 0.0000 0.0000  4 As 2.45, 2 Br 2.46
Tc: 0.5000 0.5000 0.5000  4 Br 3.46, 8 As 3.47
As: 0.0000 0.5000 0.0000  2 Al 2.45
As: 0.5000 0.0000 0.0000  2 Al 2.45
Br: 0.0000 0.0000 0.5000  2 Al 2.46

=====

Sm2DyPaRu2 | PBE | relaxed

Output
SG: Ibam, No. 72
Energy of formation from the pure elements, eV/atom: -0.293

Cell lengths 8.3365, 8.3365, 8.3365 Å; angles 131.27, 70.86, 131.93 degrees
Closest atoms and distances in Å follow each position.
Element x y z (fractional)
Sm: 0.1935 0.2180 0.4116  1 Ru 2.86
Sm: 0.3065 0.7180 0.0245  1 Ru 2.86
Sm: 0.6935 0.2820 0.9755  1 Ru 2.86
Sm: 0.8065 0.7820 0.5884  1 Ru 2.86
Dy: 0.2500 0.7500 0.5000  4 Ru 2.95
Dy: 0.7500 0.2500 0.5000  4 Ru 2.95
Pa: 0.2500 0.2500 0.0000  4 Ru 2.60
Pa: 0.7500 0.7500 0.0000  4 Ru 2.60
Ru: 0.0990 0.7904 0.8894  2 Pa 2.60, 1 Sm 2.86
Ru: 0.4010 0.2904 0.6914  2 Pa 2.60, 1 Sm 2.86
Ru: 0.5990 0.7096 0.3086  2 Pa 2.60, 1 Sm 2.86
Ru: 0.9010 0.2096 0.1106  2 Pa 2.60, 1 Sm 2.86